The following is a DFT calculation (PBE) of a relaxed Sc2CuRh crystal.

Summary:
Calculated total energy   -6.108 eV per atom
Total magnetization   2.09 μB per cell

Unit cell a=3.1995 b=3.1995 c=25.7445 alpha=90.00 beta=90.00 gamma=120.00
Space group R3m (No. 160, hexagonal axes)
Inequivalent atoms, fractional coordinates:
Sc1 0.0000 0.0000 0.0000 [3 per cell]
Sc2 0.0000 0.0000 0.2215 [3 per cell]
Cu1 0.0000 0.0000 0.7439 [3 per cell]
Rh1 0.0000 0.0000 0.4845 [3 per cell]